Entry w
This record from the Alexandria database describes a relaxed structure of Ge3PRh. The functional is PBE.

Calculated values
Magnetization = 0.0000 μB per atom

a b c (Å): 4.6153 4.6153 4.6153
angles (deg): 90.00 90.00 90.00
Last column: nearest neighbours and their distance in Å.
Space group Pm-3m (No. 221)
Unique sites:
Ge (0.0000, 0.0000, 0.5000) [3 per cell]  2 P 2.31
P (0.0000, 0.0000, 0.0000) [1 per cell]  6 Ge 2.31
Rh (0.5000, 0.5000, 0.5000) [1 per cell]  12 Ge 3.26


Entry x
This record from the Alexandria database describes a relaxed structure of Ge3PRh. The functional is PBE.

Calculated values
Magnetization = 0.0000 μB per atom

a b c (Å): 4.7376 4.7376 4.7376
angles (deg): 90.00 90.00 90.00
Last column: nearest neighbours and their distance in Å.
Space group Pm-3m (No. 221)
Unique sites:
Ge (0.0000, 0.0000, 0.5000) [3 per cell]  2 Rh 2.37
P (0.5000, 0.5000, 0.5000) [1 per cell]  12 Ge 3.35
Rh (0.0000, 0.0000, 0.0000) [1 per cell]  6 Ge 2.37


So which one is most stable? That would be entry x, about 500 meV per atom below the next structure.


Entry w
This record from the Alexandria database describes a relaxed structure of ZnGePRh. The functional is PBE.

Calculated values
Magnetization = 0.0000 μB per atom

a b c (Å): 5.7261 3.2254 7.7570
angles (deg): 90.00 104.51 90.00
Last column: nearest neighbours and their distance in Å.
Space group Cm (No. 8)
Unique sites:
Zn (0.0000, 0.0000, 0.0000) [2 per cell]  1 P 2.35
Ge (0.2474, 0.0000, 0.7526) [2 per cell]  3 Zn 2.64-2.66, 3 Rh 2.74-2.77
P (0.1048, 0.0000, 0.3133) [2 per cell]  3 Rh 2.28, 1 Zn 2.35
Rh (0.3325, 0.5000, 0.4837) [2 per cell]  3 P 2.28


Entry x
This record from the Alexandria database describes a relaxed structure of ZnGePRh. The functional is PBE.

Calculated values
Magnetization = 0.0000 μB per atom

a b c (Å): 3.6488 3.4667 5.2010
angles (deg): 90.00 108.81 90.00
Last column: nearest neighbours and their distance in Å.
Space group Pm (No. 6)
Unique sites:
Zn (0.0000, 0.0000, 0.0000) [1 per cell]  4 P 2.52-2.62, 2 Rh 2.77-2.79
Ge (0.7343, 0.5000, 0.3827) [1 per cell]  1 P 2.42, 4 Rh 2.66-2.67
P (0.4330, 0.5000, 0.8935) [1 per cell]  2 Rh 2.39, 1 Ge 2.42, 4 Zn 2.52-2.62
Rh (0.3140, 0.0000, 0.5606) [1 per cell]  2 P 2.39, 4 Ge 2.66-2.67


So which one is most stable? That would be entry w, about 17 meV per atom below the next structure.